# PBE-GGA Mn2Pd8Au, relaxed
# Spin magnetization = 9.50 μB/f.u.
# ΔE to the lowest computed polymorph = 0.86 eV per formula unit
data_Mn2Pd8Au
_chemical_formula_sum 'Mn4 Pd16 Au2'
_cell_length_a 4.1735
_cell_length_b 6.9540
_cell_length_c 12.0986
_cell_angle_alpha 90.00
_cell_angle_beta 90.00
_cell_angle_gamma 90.00
_space_group_name_H-M_alt 'I m m m'
_space_group_IT_number 71
_space_group_name_Hall '-I 2 2'
loop_
_atom_site_label
_atom_site_fract_x
_atom_site_fract_y
_atom_site_fract_z
_atom_site_occupancy
Mn1 0.0000 0.0000 0.1948 1
Pd1 0.0000 0.1970 0.0000 1
Pd2 0.0000 0.2837 0.3430 1
Pd3 0.0000 0.5000 0.1545 1
Au1 0.0000 0.0000 0.5000 1